1.
This record from Alexandria describes a relaxed structure of BaTlSn2. The functional is PBE-GGA.

Values from the calculation:
VASP energy = -3.27 eV per atom
Space-group type = I-42d, No. 122
Calculated formation energy = -0.195 eV/atom
Fermi-level density of states = 2.8 states/eV/cell
Total moment = 0.00 Bohr magnetons per cell

a = 5.3098 Å, b = 5.3098 Å, c = 11.3438 Å
α = 76.46°, β = 76.46°, γ = 90.00°
Last column: nearest neighbours and their distance in Å.
Atoms (fractional coordinates):
Ba (0.5000, 0.5000, 0.0000)  4 Sn 3.51, 4 Tl 3.75
Ba (0.2500, 0.7500, 0.5000)  4 Sn 3.51, 4 Tl 3.75
Sn (0.0270, 0.6250, 0.2500)  2 Tl 3.09, 2 Sn 3.11
Sn (0.3750, 0.2770, 0.7500)  2 Tl 3.09, 2 Sn 3.11
Sn (0.8750, 0.9730, 0.7500)  2 Tl 3.09, 2 Sn 3.11
Sn (0.7230, 0.1250, 0.2500)  2 Tl 3.09, 2 Sn 3.11
Tl (0.0000, 0.0000, 0.0000)  4 Sn 3.09
Tl (0.7500, 0.2500, 0.5000)  4 Sn 3.09

2.
This record from Alexandria describes a relaxed structure of Ba3Tl4Sn4. The functional is PBE-GGA.

Values from the calculation:
VASP energy = -3.24 eV per atom
Space-group type = P-1, No. 2
Calculated formation energy = -0.399 eV/atom
Fermi-level density of states = 3.3 states/eV/cell
Total moment = 0.00 Bohr magnetons per cell

a = 4.9591 Å, b = 5.3846 Å, c = 15.1767 Å
α = 78.43°, β = 80.53°, γ = 89.92°
Last column: nearest neighbours and their distance in Å.
Atoms (fractional coordinates):
Sn (0.8103, 0.3165, 0.3816)  5 Tl 2.98-3.18
Sn (0.4530, 0.5361, 0.0944)  1 Sn 2.93, 2 Tl 3.04
Sn (0.1897, 0.6835, 0.6184)  5 Tl 2.98-3.18
Sn (0.5470, 0.4639, 0.9056)  1 Sn 2.93, 2 Tl 3.04
Tl (0.2465, 0.2370, 0.5080)  4 Sn 3.09-3.18
Tl (0.9069, 0.2750, 0.1862)  3 Sn 2.98-3.04
Tl (0.7535, 0.7630, 0.4920)  4 Sn 3.09-3.18
Tl (0.0931, 0.7250, 0.8138)  3 Sn 2.98-3.04
Ba (0.0000, 0.0000, 0.0000)  2 Tl 3.41, 4 Sn 3.60
Ba (0.3526, 0.8242, 0.2956)  5 Tl 3.62-4.00, 5 Sn 3.66-4.03
Ba (0.6473, 0.1758, 0.7044)  5 Tl 3.62-4.00, 5 Sn 3.66-4.03

3.
This record from Alexandria describes a relaxed structure of BaTl2Sn. The functional is PBE-GGA.

Values from the calculation:
VASP energy = -2.96 eV per atom
Space-group type = P4/mmm, No. 123
Calculated formation energy = -0.296 eV/atom
Fermi-level density of states = 2.5 states/eV/cell
Total moment = 0.00 Bohr magnetons per cell

a = 5.1570 Å, b = 5.0502 Å, c = 5.0502 Å
α = 90.00°, β = 90.00°, γ = 90.00°
Last column: nearest neighbours and their distance in Å.
Atoms (fractional coordinates):
Ba (0.5000, 0.5000, 0.5000)  4 Sn 3.57, 8 Tl 3.61
Sn (0.5000, 0.0000, 0.0000)  4 Ba 3.57, 8 Tl 3.61
Tl (0.0000, 0.0000, 0.5000)  4 Tl 3.57, 4 Ba 3.61, 4 Sn 3.61
Tl (0.0000, 0.5000, 0.0000)  4 Tl 3.57, 4 Ba 3.61, 4 Sn 3.61

4.
This record from Alexandria describes a relaxed structure of Ba2Tl7Sn. The functional is PBE-GGA.

Values from the calculation:
VASP energy = -2.40 eV per atom
Space-group type = Fm-3m, No. 225
Calculated formation energy = 0.038 eV/atom
Fermi-level density of states = 9.5 states/eV/cell
Total moment = 0.00 Bohr magnetons per cell

a = 8.3903 Å, b = 8.3903 Å, c = 8.3903 Å
α = 60.00°, β = 60.00°, γ = 60.00°
Last column: nearest neighbours and their distance in Å.
Atoms (fractional coordinates):
Tl (0.7531, 0.7531, 0.2469)  1 Sn 2.93, 1 Tl 3.00
Tl (0.2469, 0.7531, 0.7531)  1 Sn 2.93, 1 Tl 3.00
Tl (0.7531, 0.2469, 0.7531)  1 Sn 2.93, 1 Tl 3.00
Tl (0.5000, 0.5000, 0.5000)  6 Tl 3.00
Tl (0.2469, 0.7531, 0.2469)  1 Sn 2.93, 1 Tl 3.00
Tl (0.2469, 0.2469, 0.7531)  1 Sn 2.93, 1 Tl 3.00
Tl (0.7531, 0.2469, 0.2469)  1 Sn 2.93, 1 Tl 3.00
Sn (0.0000, 0.0000, 0.0000)  6 Tl 2.93
Ba (0.7500, 0.7500, 0.7500)  12 Tl 4.20
Ba (0.2500, 0.2500, 0.2500)  12 Tl 4.20

5.
This record from Alexandria describes a relaxed structure of BaTl2Sn6. The functional is PBE-GGA.

Values from the calculation:
VASP energy = -3.56 eV per atom
Space-group type = C2/m, No. 12
Calculated formation energy = -0.153 eV/atom
Fermi-level density of states = 5.1 states/eV/cell
Total moment = 0.00 Bohr magnetons per cell

a = 6.5070 Å, b = 6.4912 Å, c = 6.4912 Å
α = 95.33°, β = 84.48°, γ = 84.48°
Last column: nearest neighbours and their distance in Å.
Atoms (fractional coordinates):
Sn (0.5000, 0.8245, 0.1755)  5 Sn 3.12-3.37
Sn (0.1773, 0.1749, 0.4995)  5 Sn 3.12-3.40
Sn (0.8227, 0.5005, 0.8251)  5 Sn 3.12-3.40
Sn (0.8227, 0.8251, 0.5005)  5 Sn 3.12-3.40
Sn (0.1773, 0.4995, 0.1749)  5 Sn 3.12-3.40
Sn (0.5000, 0.1755, 0.8245)  5 Sn 3.12-3.37
Ba (0.0000, 0.0000, 0.0000)  2 Tl 3.46, 12 Sn 3.66
Tl (0.6599, 0.3419, 0.3419)  1 Tl 3.21, 1 Ba 3.46, 6 Sn 3.50-3.51
Tl (0.3401, 0.6581, 0.6581)  1 Tl 3.21, 1 Ba 3.46, 6 Sn 3.50-3.51

6.
This record from Alexandria describes a relaxed structure of BaTl2Sn. The functional is PBE-GGA.

Values from the calculation:
VASP energy = -3.00 eV per atom
Space-group type = P2_1/m, No. 11
Calculated formation energy = -0.337 eV/atom
Fermi-level density of states = 3.1 states/eV/cell
Total moment = 0.00 Bohr magnetons per cell

a = 5.2652 Å, b = 5.1226 Å, c = 10.6453 Å
α = 102.03°, β = 90.00°, γ = 90.00°
Last column: nearest neighbours and their distance in Å.
Atoms (fractional coordinates):
Tl (0.2500, 0.1116, 0.9513)  1 Sn 3.02, 2 Tl 3.13
Tl (0.2500, 0.2403, 0.4984)  4 Sn 3.12-3.18
Tl (0.7500, 0.8884, 0.0487)  1 Sn 3.02, 2 Tl 3.13
Tl (0.7500, 0.7597, 0.5016)  4 Sn 3.12-3.18
Sn (0.7500, 0.1796, 0.3267)  5 Tl 3.02-3.18
Sn (0.2500, 0.8204, 0.6733)  5 Tl 3.02-3.18
Ba (0.2500, 0.6200, 0.2339)  7 Tl 3.54-3.84, 4 Sn 3.73-3.87
Ba (0.7500, 0.3800, 0.7661)  7 Tl 3.54-3.84, 4 Sn 3.73-3.87

7.
This record from Alexandria describes a relaxed structure of Ba4Tl2Sn. The functional is PBE-GGA.

Values from the calculation:
VASP energy = -2.51 eV per atom
Space-group type = I4/mmm, No. 139
Calculated formation energy = -0.165 eV/atom
Fermi-level density of states = 11.0 states/eV/cell
Total moment = 2.18 Bohr magnetons per cell

a = 6.7321 Å, b = 6.7321 Å, c = 9.7740 Å
α = 69.86°, β = 69.86°, γ = 90.00°
Last column: nearest neighbours and their distance in Å.
Atoms (fractional coordinates):
Tl (0.4035, 0.4035, 0.1931)  1 Tl 3.30, 1 Ba 3.52
Tl (0.5965, 0.5965, 0.8069)  1 Tl 3.30, 1 Ba 3.52
Ba (0.0000, 0.5000, 0.0000)  2 Sn 3.37, 4 Tl 3.75
Ba (0.5000, 0.0000, 0.0000)  2 Sn 3.37, 4 Tl 3.75
Ba (0.1971, 0.1971, 0.6058)  1 Sn 3.37, 1 Tl 3.52
Ba (0.8029, 0.8029, 0.3942)  1 Sn 3.37, 1 Tl 3.52
Sn (0.0000, 0.0000, 0.0000)  6 Ba 3.37

8.
This record from Alexandria describes a relaxed structure of BaTl5Sn. The functional is PBE-GGA.

Values from the calculation:
VASP energy = -2.68 eV per atom
Space-group type = P4/mmm, No. 123
Calculated formation energy = -0.148 eV/atom
Fermi-level density of states = 3.8 states/eV/cell
Total moment = 0.00 Bohr magnetons per cell

a = 5.4685 Å, b = 5.4685 Å, c = 7.9141 Å
α = 90.00°, β = 90.00°, γ = 90.00°
Last column: nearest neighbours and their distance in Å.
Atoms (fractional coordinates):
Tl (0.0000, 0.5000, 0.2874)  2 Sn 3.21, 3 Tl 3.37-3.56, 2 Ba 3.56
Tl (0.5000, 0.0000, 0.7126)  2 Sn 3.21, 3 Tl 3.37-3.56, 2 Ba 3.56
Tl (0.5000, 0.0000, 0.2874)  2 Sn 3.21, 3 Tl 3.37-3.56, 2 Ba 3.56
Tl (0.5000, 0.5000, 0.0000)  8 Tl 3.56, 4 Ba 3.87
Tl (0.0000, 0.5000, 0.7126)  2 Sn 3.21, 3 Tl 3.37-3.56, 2 Ba 3.56
Sn (0.0000, 0.0000, 0.5000)  8 Tl 3.21
Ba (0.0000, 0.0000, 0.0000)  12 Tl 3.56-3.87, 2 Sn 3.96

9.
This record from Alexandria describes a relaxed structure of Ba2Tl8Sn. The functional is PBE-GGA.

Values from the calculation:
VASP energy = -2.62 eV per atom
Space-group type = P4/mmm, No. 123
Calculated formation energy = -0.189 eV/atom
Fermi-level density of states = 6.3 states/eV/cell
Total moment = 0.00 Bohr magnetons per cell

a = 5.2414 Å, b = 5.2414 Å, c = 13.5914 Å
α = 90.00°, β = 90.00°, γ = 90.00°
Last column: nearest neighbours and their distance in Å.
Atoms (fractional coordinates):
Ba (0.0000, 0.0000, 0.3088)  12 Tl 3.55-3.72
Ba (0.0000, 0.0000, 0.6912)  12 Tl 3.55-3.72
Tl (0.0000, 0.5000, 0.8671)  2 Sn 3.18, 2 Ba 3.55
Tl (0.0000, 0.5000, 0.1329)  2 Sn 3.18, 2 Ba 3.55
Tl (0.5000, 0.0000, 0.8671)  2 Sn 3.18, 2 Ba 3.55
Tl (0.5000, 0.5000, 0.6643)  8 Tl 3.44-3.80, 4 Ba 3.72
Tl (0.5000, 0.5000, 0.3357)  8 Tl 3.44-3.80, 4 Ba 3.72
Tl (0.0000, 0.5000, 0.5000)  8 Tl 3.44-3.71, 4 Ba 3.69
Tl (0.5000, 0.0000, 0.1329)  2 Sn 3.18, 2 Ba 3.55
Tl (0.5000, 0.0000, 0.5000)  8 Tl 3.44-3.71, 4 Ba 3.69
Sn (0.0000, 0.0000, 0.0000)  8 Tl 3.18

10.
This record from Alexandria describes a relaxed structure of Ba3Tl9Sn2. The functional is PBE-GGA.

Values from the calculation:
VASP energy = -2.78 eV per atom
Space-group type = Immm, No. 71
Calculated formation energy = -0.271 eV/atom
Fermi-level density of states = 7.4 states/eV/cell
Total moment = 0.00 Bohr magnetons per cell

a = 5.0948 Å, b = 10.0693 Å, c = 10.0693 Å
α = 75.14°, β = 75.35°, γ = 75.35°
Last column: nearest neighbours and their distance in Å.
Atoms (fractional coordinates):
Tl (0.8564, 0.4260, 0.8612)  4 Tl 3.19-3.44, 2 Sn 3.35
Tl (0.1436, 0.5740, 0.1388)  4 Tl 3.19-3.44, 2 Sn 3.35
Tl (0.0000, 0.5000, 0.5000)  4 Tl 3.44, 4 Sn 3.55, 4 Ba 3.80
Tl (0.6567, 0.7160, 0.9706)  4 Tl 3.13-3.22, 1 Sn 3.17
Tl (0.8564, 0.8612, 0.4260)  4 Tl 3.19-3.44, 2 Sn 3.35
Tl (0.1436, 0.1388, 0.5740)  4 Tl 3.19-3.44, 2 Sn 3.35
Tl (0.3433, 0.0294, 0.2840)  4 Tl 3.13-3.22, 1 Sn 3.17
Tl (0.6567, 0.9706, 0.7160)  4 Tl 3.13-3.22, 1 Sn 3.17
Tl (0.3433, 0.2840, 0.0294)  4 Tl 3.13-3.22, 1 Sn 3.17
Ba (0.6861, 0.3139, 0.3139)  10 Tl 3.75-3.82, 2 Sn 3.75
Ba (0.0000, 0.0000, 0.0000)  12 Tl 3.81-4.09
Ba (0.3139, 0.6861, 0.6861)  10 Tl 3.75-3.82, 2 Sn 3.75
Sn (0.5000, 0.7015, 0.2985)  6 Tl 3.17-3.35
Sn (0.5000, 0.2985, 0.7015)  6 Tl 3.17-3.35

11.
This record from Alexandria describes a relaxed structure of BaTl3Sn8. The functional is PBE-GGA.

Values from the calculation:
VASP energy = -3.54 eV per atom
Space-group type = R3m, No. 160
Calculated formation energy = -0.120 eV/atom
Fermi-level density of states = 4.8 states/eV/cell
Total moment = 0.00 Bohr magnetons per cell

a = 6.4495 Å, b = 6.4495 Å, c = 10.8889 Å
α = 72.77°, β = 72.77°, γ = 60.00°
Last column: nearest neighbours and their distance in Å.
Atoms (fractional coordinates):
Tl (0.0028, 0.0028, 0.9916)  12 Sn 3.59-3.78, 1 Ba 3.89, 3 Tl 3.91
Tl (0.3749, 0.3749, 0.8754)  12 Sn 3.65-3.78, 4 Tl 3.70-3.91
Tl (0.4956, 0.4956, 0.5133)  12 Sn 3.70-3.86, 1 Tl 3.70, 3 Ba 3.99
Sn (0.9422, 0.4370, 0.1838)  6 Sn 3.15-3.26
Sn (0.1876, 0.1876, 0.4371)  6 Sn 3.18
Sn (0.6877, 0.6877, 0.9369)  6 Sn 3.14-3.15
Sn (0.4370, 0.9422, 0.1838)  6 Sn 3.15-3.26
Sn (0.4338, 0.9378, 0.6907)  6 Sn 3.14-3.25
Sn (0.9378, 0.9378, 0.6907)  6 Sn 3.14-3.25
Sn (0.4370, 0.4370, 0.1838)  6 Sn 3.15-3.26
Sn (0.9378, 0.4338, 0.6907)  6 Sn 3.14-3.25
Ba (0.8759, 0.8759, 0.3722)  12 Sn 3.76-3.78, 4 Tl 3.89-3.99

12.
This record from Alexandria describes a relaxed structure of Ba2TlSn2. The functional is PBE-GGA.

Values from the calculation:
VASP energy = -3.16 eV per atom
Space-group type = I4/mmm, No. 139
Calculated formation energy = -0.315 eV/atom
Fermi-level density of states = 5.1 states/eV/cell
Total moment = 0.00 Bohr magnetons per cell

a = 4.2756 Å, b = 4.2756 Å, c = 11.0487 Å
α = 78.84°, β = 78.84°, γ = 90.00°
Last column: nearest neighbours and their distance in Å.
Atoms (fractional coordinates):
Tl (0.0000, 0.0000, 0.0000)  8 Ba 3.76
Sn (0.2500, 0.7500, 0.5000)  4 Sn 3.02
Sn (0.7500, 0.2500, 0.5000)  4 Sn 3.02
Ba (0.3945, 0.3945, 0.2111)  4 Sn 3.74, 4 Tl 3.76
Ba (0.6055, 0.6055, 0.7889)  4 Sn 3.74, 4 Tl 3.76